1.
A geometry-optimized Al2ReIr structure. Source: Alexandria via LeMat-Bulk, functional PBE.

The space group is P2/m (No. 10) and the conventional cell measures 2.7670, 4.1406 and 5.1127 Å, with angles of 90.00, 93.30 and 90.00 degrees. The asymmetric unit holds Al at (0.1933, 0.0000, 0.2501), Re at (0.5000, 0.5000, 0.0000) and Ir at (0.0000, 0.5000, 0.5000).

As for the calculated density: 12.3 Mg/m³. As for the crystal system: monoclinic.


2.
A geometry-optimized Al2ReIr structure. Source: Alexandria via LeMat-Bulk, functional PBE.

The space group is F-43m (No. 216) and the conventional cell measures 6.1749, 6.1749 and 6.1749 Å, with angles of 90.00, 90.00 and 90.00 degrees. The asymmetric unit holds Al at (0.0000, 0.0000, 0.0000), Al at (0.2500, 0.2500, 0.2500), Re at (0.0000, 0.0000, 0.5000) and Ir at (0.2500, 0.2500, 0.7500).

As for the calculated density: 12.2 Mg/m³. As for the crystal system: cubic.


3.
A geometry-optimized AlReIr2 structure. Source: Alexandria via LeMat-Bulk, functional PBE.

The space group is Imm2 (No. 44) and the conventional cell measures 2.8581, 4.4200 and 9.1835 Å, with angles of 90.00, 90.00 and 90.00 degrees. The asymmetric unit holds Al at (0.0000, 0.0000, 0.0000), Re at (0.0000, 0.5000, 0.2691), Ir at (0.0000, 0.0000, 0.5079) and Ir at (0.0000, 0.5000, 0.7179).

As for the calculated density: 17.1 Mg/m³. As for the crystal system: orthorhombic.


How do the records compare in E_form? In the order shown, they have -0.2864 -0.0607 -0.2170 eV per atom.